First-principles (PBE) data for a geometry-optimized Ag5Cl4O structure, as listed in Alexandria.

Formation energy from raw total energies (eV/f.u.): -2.62
Total magnetization (μB/f.u.): 0.00
Crystal system: tetragonal
DFT total energy (eV/f.u.): -29.22
Space-group type: I4

Unit cell a=6.5760 b=6.5760 c=6.5760 alpha=104.07 beta=104.07 gamma=120.93
Atoms (fractional coordinates):
Ag 0.9158 0.2796 0.1752
Ag 0.2796 0.1044 0.3638
Ag 0.7407 0.9158 0.6362
Ag 0.1044 0.7407 0.8248
Ag 0.6354 0.6354 0.0000
Cl 0.3699 0.7590 0.2136
Cl 0.7590 0.5454 0.3891
Cl 0.1563 0.3699 0.6109
Cl 0.5454 0.1563 0.7864
O 0.9832 0.9832 0.0000

First-principles (PBE) data for a geometry-optimized Mg4TaMo structure, as listed in Alexandria.

Calculated formation energy (eV/atom): 0.5513
Total magnetization (μB/f.u.): 0.00
Crystal system: cubic
DFT total energy (eV/f.u.): -25.75
Space-group type: F-43m

Unit cell a=5.3737 b=5.3737 c=5.3737 alpha=60.00 beta=60.00 gamma=60.00
Atoms (fractional coordinates):
Mg 0.8740 0.3753 0.3753
Mg 0.3753 0.3753 0.8740
Mg 0.3753 0.8740 0.3753
Mg 0.3753 0.3753 0.3753
Ta 0.0000 0.0000 0.0000
Mo 0.7500 0.7500 0.7500

First-principles (PBE) data for a geometry-optimized TaReSiOs structure, as listed in Alexandria.

Formation energy from raw total energies (eV/f.u.): -1.13
Total magnetization (μB/f.u.): 0.00
Crystal system: cubic
DFT total energy (eV/f.u.): -42.08
Space-group type: F-43m

Unit cell a=4.3763 b=4.3763 c=4.3763 alpha=60.00 beta=60.00 gamma=60.00
Atoms (fractional coordinates):
Re 0.2500 0.2500 0.2500
Si 0.5000 0.5000 0.5000
Os 0.7500 0.7500 0.7500
Ta 0.0000 0.0000 0.0000

First-principles (PBE) data for a geometry-optimized ScFeRe4 structure, as listed in Alexandria.

Calculated formation energy (eV/atom): 0.1540
Total magnetization (μB/f.u.): 3.39
Crystal system: cubic
DFT total energy (eV/f.u.): -63.66
Space-group type: F-43m

Unit cell a=5.2118 b=5.2118 c=5.2118 alpha=60.00 beta=60.00 gamma=60.00
Atoms (fractional coordinates):
Sc 0.7500 0.7500 0.7500
Fe 0.0000 0.0000 0.0000
Re 0.8763 0.3746 0.3746
Re 0.3746 0.3746 0.8763
Re 0.3746 0.8763 0.3746
Re 0.3746 0.3746 0.3746

First-principles (PBE) data for a geometry-optimized RbLi2Pb structure, as listed in Alexandria.

Calculated formation energy (eV/atom): 0.0162
Total magnetization (μB/f.u.): 0.00
Crystal system: tetragonal
DFT total energy (eV/f.u.): -8.44
Space-group type: I-42d

Unit cell a=5.6686 b=5.6686 c=10.3939 alpha=74.18 beta=74.18 gamma=90.00
Atoms (fractional coordinates):
Pb 0.0000 0.0000 0.0000
Pb 0.7500 0.2500 0.5000
Rb 0.5000 0.5000 0.0000
Rb 0.2500 0.7500 0.5000
Li 0.8714 0.1250 0.2500
Li 0.8786 0.6250 0.2500
Li 0.3750 0.1286 0.7500
Li 0.8750 0.1214 0.7500

First-principles (PBE) data for a geometry-optimized PmSm3Te3 structure, as listed in Alexandria.

Formation energy from raw total energies (eV/f.u.): -7.71
Total magnetization (μB/f.u.): 0.00
Crystal system: trigonal
DFT total energy (eV/f.u.): -36.05
Space-group type: R-3

Unit cell a=9.1914 b=9.1914 c=8.0498 alpha=55.19 beta=55.19 gamma=60.00
Atoms (fractional coordinates):
Pm 0.3156 0.3156 0.0532
Pm 0.6844 0.6844 0.9468
Sm 0.1624 0.6601 0.2573
Sm 0.9202 0.1624 0.2573
Sm 0.6601 0.9202 0.2573
Sm 0.3399 0.0798 0.7427
Sm 0.0798 0.8376 0.7427
Sm 0.8376 0.3399 0.7427
Te 0.4607 0.6837 0.7578
Te 0.6837 0.0978 0.7578
Te 0.0978 0.4607 0.7578
Te 0.9022 0.5393 0.2422
Te 0.3163 0.9022 0.2422
Te 0.5393 0.3163 0.2422

First-principles (PBE) data for a geometry-optimized Pr5Nd3Sn2 structure, as listed in Alexandria.

Calculated formation energy (eV/atom): -0.0775
Total magnetization (μB/f.u.): 0.00
Crystal system: orthorhombic
DFT total energy (eV/f.u.): -46.98
Space-group type: Ibam

Unit cell a=6.6480 b=10.8433 c=10.8433 alpha=94.00 beta=72.15 gamma=72.15
Atoms (fractional coordinates):
Pr 0.2500 0.5000 0.5000
Pr 0.7500 0.5000 0.5000
Pr 0.5003 0.7497 0.7497
Pr 0.9997 0.2503 0.2503
Pr 0.4997 0.2503 0.2503
Pr 0.0003 0.7497 0.7497
Pr 0.0918 0.5714 0.2450
Pr 0.9082 0.4286 0.7550
Pr 0.5918 0.2450 0.5714
Pr 0.4082 0.7550 0.4286
Nd 0.2500 0.0000 0.0000
Nd 0.7500 0.0000 0.0000
Nd 0.3720 0.3439 0.9122
Nd 0.6280 0.6561 0.0878
Nd 0.8720 0.9122 0.3439
Nd 0.1280 0.0878 0.6561
Sn 0.1327 0.7201 0.0146
Sn 0.8673 0.2799 0.9854
Sn 0.6327 0.0146 0.7201
Sn 0.3673 0.9854 0.2799

First-principles (PBE) data for a geometry-optimized CoH2Rh2 structure, as listed in Alexandria.

Total magnetization (μB/f.u.): 3.10
ΔE to the lowest computed polymorph (eV per formula unit): 0.00
Crystal system: tetragonal
DFT total energy (eV/f.u.): -28.18
Space-group type: I4/mmm

Unit cell a=2.8814 b=2.8814 c=5.9560 alpha=76.00 beta=76.00 gamma=90.00
Atoms (fractional coordinates):
Co 0.0000 0.0000 0.0000
Rh 0.3551 0.3551 0.2897
Rh 0.6449 0.6449 0.7103
H 0.7500 0.2500 0.5000
H 0.2500 0.7500 0.5000